(1)
Material: Ta2CoMo
Method: DFT, PBE
State: optimized geometry

Unit cell a=9.2167 b=9.2167 c=9.2167 alpha=17.87 beta=17.87 gamma=17.87
Element x y z (fractional)
Ta  0.2424  0.2424  0.2424
Ta  0.7576  0.7576  0.7576
Co  0.5000  0.5000  0.5000
Mo  0.0000  0.0000  0.0000

Crystal system: trigonal
Total energy in eV/atom: -10.161
Symmetry: R-3m
E_form in eV/atom: 0.249
Polymorph energy (0 for the lowest one) in kJ per mole of atoms: 39.2

---

(2)
Material: Ta2Co9Mo
Method: DFT, PBE
State: optimized geometry

Unit cell a=3.6218 b=3.6218 c=10.8716 alpha=90.00 beta=90.00 gamma=90.00
Element x y z (fractional)
Ta  0.0000  0.0000  0.1667
Ta  0.0000  0.0000  0.8333
Co  0.0000  0.5000  0.0000
Co  0.0000  0.5000  0.3386
Co  0.0000  0.5000  0.6614
Co  0.5000  0.0000  0.0000
Co  0.5000  0.0000  0.3386
Co  0.5000  0.0000  0.6614
Co  0.5000  0.5000  0.1690
Co  0.5000  0.5000  0.5000
Co  0.5000  0.5000  0.8310
Mo  0.0000  0.0000  0.5000

Crystal system: tetragonal
Total energy in eV/atom: -8.370
Symmetry: P4/mmm
E_form in eV/atom: -0.163

---

(3)
Material: TaCoMo2
Method: DFT, PBE
State: optimized geometry

Unit cell a=5.0972 b=5.0972 c=5.0972 alpha=143.37 beta=128.20 gamma=65.10
Element x y z (fractional)
Ta  0.0000  0.0000  0.0000
Co  0.2512  0.7512  0.5000
Mo  0.5022  0.5022  0.0000
Mo  0.7449  0.2449  0.5000

Crystal system: orthorhombic
Total energy in eV/atom: -10.092
Symmetry: Imm2
E_form in eV/atom: 0.064
Polymorph energy (0 for the lowest one) in kJ per mole of atoms: 7.8

---

(4)
Material: TaCoMo2
Method: DFT, PBE
State: optimized geometry

Unit cell a=4.4119 b=4.4119 c=4.4119 alpha=60.00 beta=60.00 gamma=60.00
Element x y z (fractional)
Ta  0.0000  0.0000  0.0000
Co  0.5000  0.5000  0.5000
Mo  0.2500  0.2500  0.2500
Mo  0.7500  0.7500  0.7500

Crystal system: cubic
Total energy in eV/atom: -9.953
Symmetry: Fm-3m
E_form in eV/atom: 0.202
Polymorph energy (0 for the lowest one) in kJ per mole of atoms: 21.2